{"formula": "ZnGaSi3", "functional": "PBE", "state": "optimized geometry", "cell": [[4.7014, 0.0000, 0.0000], [0.0000, 4.7014, 0.0000], [0.0000, 0.0000, 4.7014]], "species": ["Zn", "Ga", "Si", "Si", "Si"], "fractional_positions": [[0.0000, 0.0000, 0.0000], [0.5000, 0.5000, 0.5000], [0.0000, 0.0000, 0.5000], [0.0000, 0.5000, 0.0000], [0.5000, 0.0000, 0.0000]], "crystal_system": "cubic", "total_magnetization_mub_per_cell": 0.00, "dos_ef_per_ev_cell": 3.40, "raw_formation_energy_ev_per_atom": 0.92, "e_above_lowest_polymorph_mev_per_atom": 0, "spacegroup": "Pm-3m (221)"}

***

{"formula": "ZnGa2Si", "functional": "PBE", "state": "optimized geometry", "cell": [[4.0658, 0.0000, 0.0000], [-2.0329, 3.5211, 0.0000], [0.0000, 0.0000, 15.6212]], "species": ["Zn", "Zn", "Zn", "Ga", "Ga", "Ga", "Ga", "Ga", "Ga", "Si", "Si", "Si"], "fractional_positions": [[0.0000, 0.0000, 0.0000], [0.3333, 0.6667, 0.6667], [0.6667, 0.3333, 0.3333], [0.0000, 0.0000, 0.2419], [0.0000, 0.0000, 0.4228], [0.3333, 0.6667, 0.0895], [0.3333, 0.6667, 0.9086], [0.6667, 0.3333, 0.5753], [0.6667, 0.3333, 0.7562], [0.0000, 0.0000, 0.8320], [0.3333, 0.6667, 0.4987], [0.6667, 0.3333, 0.1653]], "crystal_system": "trigonal", "total_magnetization_mub_per_cell": 0.00, "dos_ef_per_ev_cell": 3.06, "raw_formation_energy_ev_per_atom": 0.16, "e_above_lowest_polymorph_mev_per_atom": 0, "spacegroup": "R3m (160)"}

***

{"formula": "Zn2GaSi", "functional": "PBE", "state": "optimized geometry", "cell": [[3.0585, 0.0000, 0.0000], [-1.5292, 2.6487, 0.0000], [0.0000, 0.0000, 24.1576]], "species": ["Zn", "Zn", "Zn", "Zn", "Zn", "Zn", "Ga", "Ga", "Ga", "Si", "Si", "Si"], "fractional_positions": [[0.0000, 0.0000, 0.2469], [0.0000, 0.0000, 0.7531], [0.3333, 0.6667, 0.4197], [0.3333, 0.6667, 0.9136], [0.6667, 0.3333, 0.0864], [0.6667, 0.3333, 0.5803], [0.0000, 0.0000, 0.0000], [0.3333, 0.6667, 0.6667], [0.6667, 0.3333, 0.3333], [0.0000, 0.0000, 0.5000], [0.3333, 0.6667, 0.1667], [0.6667, 0.3333, 0.8333]], "crystal_system": "trigonal", "total_magnetization_mub_per_cell": 0.00, "dos_ef_per_ev_cell": 4.33, "raw_formation_energy_ev_per_atom": 0.19, "e_above_lowest_polymorph_mev_per_atom": 0, "spacegroup": "R-3m (166)"}

***

{"formula": "Zn2GaSi", "functional": "PBE", "state": "optimized geometry", "cell": [[6.4449, 0.0000, 0.0000], [0.0000, 6.4449, 0.0000], [0.0000, 0.0000, 6.4449]], "species": ["Zn", "Zn", "Zn", "Zn", "Zn", "Zn", "Zn", "Zn", "Ga", "Ga", "Ga", "Ga", "Si", "Si", "Si", "Si"], "fractional_positions": [[0.2500, 0.2500, 0.2500], [0.2500, 0.2500, 0.7500], [0.2500, 0.7500, 0.2500], [0.2500, 0.7500, 0.7500], [0.7500, 0.2500, 0.2500], [0.7500, 0.2500, 0.7500], [0.7500, 0.7500, 0.2500], [0.7500, 0.7500, 0.7500], [0.0000, 0.0000, 0.0000], [0.0000, 0.5000, 0.5000], [0.5000, 0.0000, 0.5000], [0.5000, 0.5000, 0.0000], [0.0000, 0.0000, 0.5000], [0.0000, 0.5000, 0.0000], [0.5000, 0.0000, 0.0000], [0.5000, 0.5000, 0.5000]], "crystal_system": "cubic", "total_magnetization_mub_per_cell": 0.00, "dos_ef_per_ev_cell": 8.14, "raw_formation_energy_ev_per_atom": 0.26, "e_above_lowest_polymorph_mev_per_atom": 65, "spacegroup": "Fm-3m (225)"}

***

What did the second record say?
{"formula": "ZnGa2Si", "functional": "PBE", "state": "optimized geometry", "cell": [[4.0658, 0.0000, 0.0000], [-2.0329, 3.5211, 0.0000], [0.0000, 0.0000, 15.6212]], "species": ["Zn", "Zn", "Zn", "Ga", "Ga", "Ga", "Ga", "Ga", "Ga", "Si", "Si", "Si"], "fractional_positions": [[0.0000, 0.0000, 0.0000], [0.3333, 0.6667, 0.6667], [0.6667, 0.3333, 0.3333], [0.0000, 0.0000, 0.2419], [0.0000, 0.0000, 0.4228], [0.3333, 0.6667, 0.0895], [0.3333, 0.6667, 0.9086], [0.6667, 0.3333, 0.5753], [0.6667, 0.3333, 0.7562], [0.0000, 0.0000, 0.8320], [0.3333, 0.6667, 0.4987], [0.6667, 0.3333, 0.1653]], "crystal_system": "trigonal", "total_magnetization_mub_per_cell": 0.00, "dos_ef_per_ev_cell": 3.06, "raw_formation_energy_ev_per_atom": 0.16, "e_above_lowest_polymorph_mev_per_atom": 0, "spacegroup": "R3m (160)"}